# Mg5Hg2Pd2

A relaxed structure of Mg5Hg2Pd2 (PBE-GGA, Alexandria).

Calculated values
Space group ... Ima2 (46)
Electronic total energy ... -2.41 eV per atom
Crystal system ... orthorhombic

a = 7.1694 Å, b = 6.8211 Å, c = 9.2496 Å
α = 111.64°, β = 112.80°, γ = 90.00°
With the nearest neighbours (Å) after each atom.
Positions (direct):
Mg 0.2032 0.6746 0.8109  2 Pd 2.62-2.64, 2 Hg 2.91-2.93
Mg 0.7968 0.8637 0.1891  2 Pd 2.62-2.64, 2 Hg 2.91-2.93
Mg 0.1077 0.1746 0.8109  2 Pd 2.62-2.64, 2 Hg 2.91-2.93
Mg 0.8923 0.3637 0.1891  2 Pd 2.62-2.64, 2 Hg 2.91-2.93
Mg 0.4190 0.9399 0.2893  2 Pd 2.56-2.59
Mg 0.5810 0.6506 0.7107  2 Pd 2.56-2.59
Mg 0.3703 0.4399 0.2893  2 Pd 2.56-2.59
Mg 0.6297 0.1506 0.7107  2 Pd 2.56-2.59
Mg 0.1924 0.8172 0.5000  2 Pd 2.66
Mg 0.8076 0.3172 0.5000  2 Pd 2.66
Hg 0.0000 0.9696 0.0000  6 Mg 2.91-3.22, 2 Pd 3.00
Hg 0.5000 0.4696 0.0000  6 Mg 2.91-3.22, 2 Pd 3.00
Hg 0.2231 0.2726 0.5000  8 Mg 2.99-3.21
Hg 0.7769 0.7726 0.5000  8 Mg 2.99-3.21
Pd 0.1028 0.6577 0.1676  5 Mg 2.56-2.66, 1 Pd 2.63
Pd 0.8972 0.4902 0.8324  5 Mg 2.56-2.66, 1 Pd 2.63
Pd 0.5648 0.1577 0.1676  5 Mg 2.56-2.66, 1 Pd 2.63
Pd 0.4352 0.9902 0.8324  5 Mg 2.56-2.66, 1 Pd 2.63